(1)
A relaxed PPd2C2 crystal. Source: Alexandria via LeMat-Bulk, functional PBE-GGA.

Structure (CIF):
```
data_PPd2C2
_chemical_formula_sum 'P2 Pd4 C4'
_space_group_name_H-M_alt 'P 4/m b m'
_space_group_IT_number 127
_space_group_name_Hall '-P 4 2ab'
_cell_length_a 6.7224
_cell_length_b 6.7224
_cell_length_c 2.7460
_cell_angle_alpha 90.00
_cell_angle_beta 90.00
_cell_angle_gamma 90.00
loop_
_atom_site_label
_atom_site_type_symbol
_atom_site_fract_x
_atom_site_fract_y
_atom_site_fract_z
P1 P 0.0000 0.0000 0.0000
Pd1 Pd 0.1794 0.3206 0.0000
C1 C 0.1528 0.6528 0.5000
```

D(E_F): 0.53 states/eV per atom
electronic total energy: -0.388 Ry per atom
size of the total moment: 0.00 μB/f.u.
ΔE_f: 1565.8 meV/atom

---

(2)
A relaxed EuTlBiPb crystal. Source: Alexandria via LeMat-Bulk, functional PBE-GGA.

Structure (CIF):
```
data_EuTlBiPb
_chemical_formula_sum 'Eu4 Tl4 Bi4 Pb4'
_space_group_name_H-M_alt 'F -4 3 m'
_space_group_IT_number 216
_space_group_name_Hall 'F -4 2 3'
_cell_length_a 8.0090
_cell_length_b 8.0090
_cell_length_c 8.0090
_cell_angle_alpha 90.00
_cell_angle_beta 90.00
_cell_angle_gamma 90.00
loop_
_atom_site_label
_atom_site_type_symbol
_atom_site_fract_x
_atom_site_fract_y
_atom_site_fract_z
Eu1 Eu 0.0000 0.0000 0.0000
Tl1 Tl 0.2500 0.2500 0.2500
Bi1 Bi 0.2500 0.2500 0.7500
Pb1 Pb 0.0000 0.0000 0.5000
```

D(E_F): 0.85 states/eV per atom
electronic total energy: -0.394 Ry per atom
size of the total moment: 7.18 μB/f.u.
ΔE_f: -299.7 meV/atom